# Pr3TeIrBr (PBE, optimized geometry)
data_Pr3TeIrBr
_symmetry_space_group_name_H-M 'P 1 21/m 1'
_symmetry_Int_Tables_number 11
_symmetry_space_group_name_Hall '-P 2yb'
_cell_length_a 9.0992
_cell_length_b 4.2662
_cell_length_c 10.8670
_cell_angle_alpha 90.00
_cell_angle_beta 91.56
_cell_angle_gamma 90.00
loop_
_atom_site_label
_atom_site_type_symbol
_atom_site_fract_x
_atom_site_fract_y
_atom_site_fract_z
Pr1 Pr 0.1062 0.2500 0.3730
Pr2 Pr 0.1377 0.2500 0.8904
Pr3 Pr 0.3424 0.7500 0.6319
Te1 Te 0.3835 0.7500 0.3365
Ir1 Ir 0.1203 0.2500 0.6400
Br1 Br 0.3627 0.7500 0.9223
# Formation energy (no corrections)   -1.019 eV per atom



# Ac3MgRh2O9 (PBE, optimized geometry)
data_Ac3MgRh2O9
_symmetry_space_group_name_H-M 'P -3 m 1'
_symmetry_Int_Tables_number 164
_symmetry_space_group_name_Hall '-P 3 2"'
_cell_length_a 5.6879
_cell_length_b 5.6879
_cell_length_c 6.9814
_cell_angle_alpha 90.00
_cell_angle_beta 90.00
_cell_angle_gamma 120.00
loop_
_atom_site_label
_atom_site_type_symbol
_atom_site_fract_x
_atom_site_fract_y
_atom_site_fract_z
Ac1 Ac 0.0000 0.0000 0.0000
Ac2 Ac 0.3333 0.6667 0.6642
Mg1 Mg 0.0000 0.0000 0.5000
Rh1 Rh 0.3333 0.6667 0.1707
O1 O 0.0000 0.5000 0.0000
O2 O 0.1679 0.3358 0.3337
# Formation energy (no corrections)   -2.310 eV per atom



# HoNi5Sn2 (PBE, optimized geometry)
data_HoNi5Sn2
_symmetry_space_group_name_H-M 'I m m m'
_symmetry_Int_Tables_number 71
_symmetry_space_group_name_Hall '-I 2 2'
_cell_length_a 4.0007
_cell_length_b 5.4031
_cell_length_c 11.8246
_cell_angle_alpha 90.00
_cell_angle_beta 90.00
_cell_angle_gamma 90.00
loop_
_atom_site_label
_atom_site_type_symbol
_atom_site_fract_x
_atom_site_fract_y
_atom_site_fract_z
Ho1 Ho 0.0000 0.0000 0.0000
Ni1 Ni 0.0000 0.2230 0.3946
Ni2 Ni 0.0000 0.5000 0.0000
Sn1 Sn 0.0000 0.5000 0.2195
# Energy relative to the elements   -0.2928 eV per atom



# Na2TiVH (PBE, optimized geometry)
data_Na2TiVH
_symmetry_space_group_name_H-M 'P 4/m m m'
_symmetry_Int_Tables_number 123
_symmetry_space_group_name_Hall '-P 4 2'
_cell_length_a 4.1580
_cell_length_b 4.1580
_cell_length_c 5.0371
_cell_angle_alpha 90.00
_cell_angle_beta 90.00
_cell_angle_gamma 90.00
loop_
_atom_site_label
_atom_site_type_symbol
_atom_site_fract_x
_atom_site_fract_y
_atom_site_fract_z
Na1 Na 0.0000 0.5000 0.0000
Ti1 Ti 0.0000 0.0000 0.5000
V1 V 0.5000 0.5000 0.5000
H1 H 0.0000 0.0000 0.0000
# Calculated total energy   -3.874 eV per atom



# CaZn (PBE, optimized geometry)
data_CaZn
_symmetry_space_group_name_H-M 'R -3 m'
_symmetry_Int_Tables_number 166
_symmetry_space_group_name_Hall '-R 3 2"'
_cell_length_a 4.4367
_cell_length_b 4.4367
_cell_length_c 20.5516
_cell_angle_alpha 90.00
_cell_angle_beta 90.00
_cell_angle_gamma 120.00
loop_
_atom_site_label
_atom_site_type_symbol
_atom_site_fract_x
_atom_site_fract_y
_atom_site_fract_z
Ca1 Ca 0.0000 0.0000 0.0893
Zn1 Zn 0.0000 0.0000 0.3328
# Energy relative to the elements   -0.1959 eV per atom



# Li2Mg (PBE, optimized geometry)
data_Li2Mg
_symmetry_space_group_name_H-M 'I 4/m m m'
_symmetry_Int_Tables_number 139
_symmetry_space_group_name_Hall '-I 4 2'
_cell_length_a 3.4084
_cell_length_b 3.4084
_cell_length_c 10.3751
_cell_angle_alpha 90.00
_cell_angle_beta 90.00
_cell_angle_gamma 90.00
loop_
_atom_site_label
_atom_site_type_symbol
_atom_site_fract_x
_atom_site_fract_y
_atom_site_fract_z
Li1 Li 0.0000 0.0000 0.1725
Mg1 Mg 0.0000 0.0000 0.5000
# Energy relative to the elements   -0.0414 eV per atom